## MnFe2Ni (meta-GGA SCAN)

Data for a crystal of MnFe2Ni relaxed with PBEsol.

Cell lengths 4.322, 4.322, 4.322 Å; angles 132.92, 132.92, 68.78 degrees
Element x y z (fractional)
Mn 0.000 0.000 0.000
Fe 0.250 0.750 0.500
Fe 0.750 0.250 0.500
Ni 0.500 0.500 0.000

Symmetry: I4/mmm, No. 139
E_tot, eV/atom: -17.780
D(E_F), states/eV/f.u.: 2.2
Formation energy from the elements, meV per atom: -108



## HfAlPd (meta-GGA SCAN)

Data for a crystal of HfAlPd relaxed with PBEsol.

Cell lengths 8.324, 5.219, 5.219 Å; angles 60.75, 90.00, 90.00 degrees
Element x y z (fractional)
Hf 0.182 0.000 0.000
Hf 0.301 0.668 0.668
Hf 0.699 0.668 0.668
Hf 0.818 0.000 0.000
Al 0.246 0.332 0.332
Al 0.500 0.166 0.684
Al 0.500 0.684 0.166
Al 0.754 0.332 0.332
Pd 0.000 0.504 0.504
Pd 0.000 0.505 0.998
Pd 0.000 0.998 0.505
Pd 0.500 0.170 0.170

Symmetry: Amm2, No. 38
E_tot, eV/atom: -35.144
D(E_F), states/eV/f.u.: 2.0
Formation energy from the elements, meV per atom: -744



## CdPbAu2 (meta-GGA SCAN)

Data for a crystal of CdPbAu2 relaxed with PBEsol.

Cell lengths 5.011, 5.011, 5.163 Å; angles 103.62, 103.62, 42.32 degrees
Element x y z (fractional)
Cd 0.000 0.000 0.000
Pb 0.228 0.228 0.671
Au 0.478 0.478 0.423
Au 0.740 0.740 0.185

Symmetry: Cm, No. 8
E_tot, eV/atom: -61.180
D(E_F), states/eV/f.u.: 1.2
Formation energy from the elements, meV per atom: -52



## Ni2RuBr (meta-GGA SCAN)

Data for a crystal of Ni2RuBr relaxed with PBEsol.

Cell lengths 4.497, 4.497, 2.788 Å; angles 90.00, 90.00, 111.51 degrees
Element x y z (fractional)
Ni 0.000 0.500 0.000
Ni 0.500 0.000 0.000
Ru 0.000 0.000 0.500
Br 0.500 0.500 0.500

Formation energy (no corrections), eV/f.u.: 3.3
Symmetry: Cmmm, No. 65
Energy relative to the lowest polymorph listed for this composition, meV per atom: 161
E_tot, eV/atom: -20.826
D(E_F), states/eV/f.u.: 4.2



## TaNi2Te2 (meta-GGA SCAN)

Data for a crystal of TaNi2Te2 relaxed with PBEsol.

Cell lengths 6.365, 3.536, 17.135 Å; angles 90.00, 90.00, 90.00 degrees
Element x y z (fractional)
Ta 0.095 0.250 0.224
Ta 0.405 0.750 0.724
Ta 0.595 0.250 0.276
Ta 0.905 0.750 0.776
Ni 0.102 0.250 0.685
Ni 0.210 0.250 0.817
Ni 0.290 0.750 0.317
Ni 0.398 0.750 0.185
Ni 0.602 0.250 0.815
Ni 0.710 0.250 0.683
Ni 0.790 0.750 0.183
Ni 0.898 0.750 0.315
Te 0.091 0.250 0.394
Te 0.096 0.750 0.091
Te 0.404 0.250 0.591
Te 0.409 0.750 0.894
Te 0.591 0.250 0.106
Te 0.596 0.750 0.409
Te 0.904 0.250 0.909
Te 0.909 0.750 0.606

Formation energy (no corrections), eV/f.u.: -2.0
Symmetry: Pnma, No. 62
E_tot, eV/atom: -35.082
D(E_F), states/eV/f.u.: 2.3



## HgSb2IF (meta-GGA SCAN)

Data for a crystal of HgSb2IF relaxed with PBEsol.

Cell lengths 4.734, 4.734, 5.733 Å; angles 90.00, 90.00, 90.00 degrees
Element x y z (fractional)
Hg 0.000 0.000 0.000
Sb 0.000 0.500 0.500
Sb 0.500 0.000 0.500
I 0.500 0.500 0.000
F 0.500 0.500 0.500

Formation energy (no corrections), eV/f.u.: 0.2
Symmetry: P4/mmm, No. 123
E_tot, eV/atom: -36.544
D(E_F), states/eV/f.u.: 3.7



## NiI2NCl (meta-GGA SCAN)

Data for a crystal of NiI2NCl relaxed with PBEsol.

Cell lengths 6.346, 6.346, 3.245 Å; angles 90.00, 90.00, 90.00 degrees
Element x y z (fractional)
Ni 0.000 0.000 0.000
I 0.000 0.500 0.500
I 0.500 0.000 0.500
N 0.500 0.500 0.000
Cl 0.500 0.500 0.500

Formation energy (no corrections), eV/f.u.: 7.7
Symmetry: P4/mmm, No. 123
E_tot, eV/atom: -19.838
D(E_F), states/eV/f.u.: 3.4



## SrAsCl2 (meta-GGA SCAN)

Data for a crystal of SrAsCl2 relaxed with PBEsol.

Cell lengths 4.671, 4.671, 4.107 Å; angles 90.00, 90.00, 90.00 degrees
Element x y z (fractional)
Sr 0.000 0.000 0.000
As 0.500 0.500 0.000
Cl 0.000 0.500 0.500
Cl 0.500 0.000 0.500

Formation energy (no corrections), eV/f.u.: -4.4
Symmetry: P4/mmm, No. 123
Energy relative to the lowest polymorph listed for this composition, meV per atom: 110
E_tot, eV/atom: -15.699
D(E_F), states/eV/f.u.: 2.5



## CaSbIr2 (meta-GGA SCAN)

Data for a crystal of CaSbIr2 relaxed with PBEsol.

Cell lengths 2.968, 4.035, 6.296 Å; angles 90.00, 90.00, 90.00 degrees
Element x y z (fractional)
Ca 0.000 0.000 0.000
Sb 0.500 0.500 0.668
Ir 0.000 0.000 0.456
Ir 0.500 0.500 0.263

Formation energy (no corrections), eV/f.u.: -0.1
Symmetry: Pmm2, No. 25
E_tot, eV/atom: -47.306
D(E_F), states/eV/f.u.: 2.6



## SrCr2Sb (meta-GGA SCAN)

Data for a crystal of SrCr2Sb relaxed with PBEsol.

Cell lengths 4.999, 4.999, 4.999 Å; angles 60.00, 60.00, 60.00 degrees
Element x y z (fractional)
Sr 0.000 0.000 0.000
Cr 0.500 0.500 0.500
Cr 0.750 0.750 0.750
Sb 0.250 0.250 0.250

Formation energy (no corrections), eV/f.u.: 0.0
Symmetry: F-43m, No. 216
E_tot, eV/atom: -24.069
D(E_F), states/eV/f.u.: 0.8



## Ba2CaZrCd (meta-GGA SCAN)

Data for a crystal of Ba2CaZrCd relaxed with PBEsol.

Cell lengths 6.009, 6.009, 5.797 Å; angles 90.00, 90.00, 90.00 degrees
Element x y z (fractional)
Ba 0.000 0.500 0.000
Ba 0.500 0.000 0.000
Ca 0.000 0.000 0.500
Zr 0.000 0.000 0.000
Cd 0.500 0.500 0.500

Symmetry: P4/mmm, No. 123
E_tot, eV/atom: -29.250
D(E_F), states/eV/f.u.: 4.7
Formation energy from the elements, meV per atom: 725



## Sc2AlCo3 (meta-GGA SCAN)

Data for a crystal of Sc2AlCo3 relaxed with PBEsol.

Cell lengths 4.763, 4.763, 4.763 Å; angles 63.38, 63.38, 63.38 degrees
Element x y z (fractional)
Sc 0.126 0.126 0.126
Sc 0.874 0.874 0.874
Al 0.500 0.500 0.500
Co 0.000 0.500 0.500
Co 0.500 0.000 0.500
Co 0.500 0.500 0.000

Symmetry: R-3m, No. 166
E_tot, eV/atom: -15.075
D(E_F), states/eV/f.u.: 2.8
Formation energy from the elements, meV per atom: -385



## Ba2CaMn (meta-GGA SCAN)

Data for a crystal of Ba2CaMn relaxed with PBEsol.

Cell lengths 11.879, 11.879, 11.879 Å; angles 19.52, 19.52, 19.52 degrees
Element x y z (fractional)
Ba 0.233 0.233 0.233
Ba 0.767 0.767 0.767
Ca 0.000 0.000 0.000
Mn 0.500 0.500 0.500

Symmetry: R-3m, No. 166
Energy relative to the lowest polymorph listed for this composition, meV per atom: 156
E_tot, eV/atom: -26.444
D(E_F), states/eV/f.u.: 3.7
Formation energy from the elements, meV per atom: 311



## InPtBr2 (meta-GGA SCAN)

Data for a crystal of InPtBr2 relaxed with PBEsol.

Cell lengths 3.674, 3.674, 8.884 Å; angles 90.00, 90.00, 121.65 degrees
Element x y z (fractional)
In 0.000 0.000 0.000
Pt 0.000 0.000 0.500
Br 0.500 0.500 0.309
Br 0.500 0.500 0.691

Formation energy (no corrections), eV/f.u.: 0.1
Symmetry: Cmmm, No. 65
Energy relative to the lowest polymorph listed for this composition, meV per atom: 42
E_tot, eV/atom: -35.597
D(E_F), states/eV/f.u.: 1.9



## RbPrW2O8 (meta-GGA SCAN)

Data for a crystal of RbPrW2O8 relaxed with PBEsol.

Cell lengths 7.626, 7.626, 7.586 Å; angles 117.35, 117.35, 89.65 degrees
Element x y z (fractional)
Rb 0.201 0.799 0.750
Rb 0.799 0.201 0.250
Pr 0.228 0.772 0.250
Pr 0.772 0.228 0.750
W 0.304 0.310 0.270
W 0.310 0.304 0.770
W 0.690 0.696 0.230
W 0.696 0.690 0.730
O 0.054 0.208 0.689
O 0.074 0.389 0.138
O 0.208 0.054 0.189
O 0.247 0.378 0.557
O 0.370 0.582 0.022
O 0.378 0.247 0.057
O 0.389 0.074 0.638
O 0.418 0.630 0.478
O 0.582 0.370 0.522
O 0.611 0.926 0.362
O 0.622 0.753 0.943
O 0.630 0.418 0.978
O 0.753 0.622 0.443
O 0.792 0.946 0.811
O 0.926 0.611 0.862
O 0.946 0.792 0.311

Formation energy (no corrections), eV/f.u.: -32.6
Symmetry: C2/c, No. 15
E_tot, eV/atom: -23.822
D(E_F), states/eV/f.u.: 0.0



## Mn2Sb (meta-GGA SCAN)

Data for a crystal of Mn2Sb relaxed with PBEsol.

Cell lengths 3.850, 3.850, 6.227 Å; angles 90.00, 90.00, 90.00 degrees
Element x y z (fractional)
Mn 0.250 0.250 0.232
Mn 0.250 0.750 0.500
Mn 0.750 0.250 0.500
Mn 0.750 0.750 0.768
Sb 0.250 0.250 0.799
Sb 0.750 0.750 0.201

Formation energy (no corrections), eV/f.u.: -0.6
Symmetry: P4/nmm, No. 129
E_tot, eV/atom: -24.798
D(E_F), states/eV/f.u.: 1.7



## ReTcBr2 (meta-GGA SCAN)

Data for a crystal of ReTcBr2 relaxed with PBEsol.

Cell lengths 5.076, 5.076, 6.527 Å; angles 112.07, 112.07, 36.49 degrees
Element x y z (fractional)
Re 0.000 0.000 0.000
Tc 0.330 0.330 0.001
Br 0.590 0.590 0.715
Br 0.743 0.743 0.286

Formation energy (no corrections), eV/f.u.: 2.7
Symmetry: Cm, No. 8
Energy relative to the lowest polymorph listed for this composition, meV per atom: 0
E_tot, eV/atom: -35.599
D(E_F), states/eV/f.u.: 0.5



## CrPIr3 (meta-GGA SCAN)

Data for a crystal of CrPIr3 relaxed with PBEsol.

Cell lengths 4.340, 4.340, 4.340 Å; angles 90.00, 90.00, 90.00 degrees
Element x y z (fractional)
Cr 0.000 0.000 0.000
P 0.500 0.500 0.500
Ir 0.000 0.500 0.500
Ir 0.500 0.000 0.500
Ir 0.500 0.500 0.000

Symmetry: Pm-3m, No. 221
Energy relative to the lowest polymorph listed for this composition, meV per atom: 0
E_tot, eV/atom: -47.883
D(E_F), states/eV/f.u.: 5.2
Formation energy from the elements, meV per atom: 533



## K2PPb (meta-GGA SCAN)

Data for a crystal of K2PPb relaxed with PBEsol.

Cell lengths 4.140, 6.702, 6.702 Å; angles 45.73, 90.00, 90.00 degrees
Element x y z (fractional)
K 0.000 0.000 0.000
K 0.500 0.294 0.294
P 0.000 0.731 0.731
Pb 0.500 0.595 0.595

Symmetry: Amm2, No. 38
E_tot, eV/atom: -26.063
D(E_F), states/eV/f.u.: 1.9
Formation energy from the elements, meV per atom: -354



## La2PtBr (meta-GGA SCAN)

Data for a crystal of La2PtBr relaxed with PBEsol.

Cell lengths 8.031, 8.031, 8.031 Å; angles 30.40, 30.40, 30.40 degrees
Element x y z (fractional)
La 0.235 0.235 0.235
La 0.765 0.765 0.765
Pt 0.500 0.500 0.500
Br 0.000 0.000 0.000

Formation energy (no corrections), eV/f.u.: -6.4
Symmetry: R-3m, No. 166
Energy relative to the lowest polymorph listed for this composition, meV per atom: 0
E_tot, eV/atom: -45.558
D(E_F), states/eV/f.u.: 3.4



## LiLa3Si (meta-GGA SCAN)

Data for a crystal of LiLa3Si relaxed with PBEsol.

Cell lengths 5.734, 5.734, 5.734 Å; angles 90.00, 90.00, 90.00 degrees
Element x y z (fractional)
Li 0.000 0.000 0.000
La 0.000 0.500 0.500
La 0.500 0.000 0.500
La 0.500 0.500 0.000
Si 0.500 0.500 0.500

Formation energy (no corrections), eV/f.u.: -0.1
Symmetry: Pm-3m, No. 221
E_tot, eV/atom: -28.367
D(E_F), states/eV/f.u.: 4.9



## ZrFe2TeI (meta-GGA SCAN)

Data for a crystal of ZrFe2TeI relaxed with PBEsol.

Cell lengths 5.038, 5.038, 5.376 Å; angles 90.00, 90.00, 90.00 degrees
Element x y z (fractional)
Zr 0.000 0.000 0.000
Fe 0.000 0.500 0.000
Fe 0.500 0.000 0.000
Te 0.000 0.000 0.500
I 0.500 0.500 0.500

Formation energy (no corrections), eV/f.u.: 5.3
Symmetry: P4/mmm, No. 123
E_tot, eV/atom: -27.130
D(E_F), states/eV/f.u.: 3.2



## HoSi2Au2 (meta-GGA SCAN)

Data for a crystal of HoSi2Au2 relaxed with PBEsol.

Cell lengths 5.865, 5.865, 5.865 Å; angles 138.05, 138.05, 60.82 degrees
Element x y z (fractional)
Ho 0.000 0.000 0.000
Si 0.388 0.388 0.000
Si 0.612 0.612 0.000
Au 0.250 0.750 0.500
Au 0.750 0.250 0.500

Formation energy (no corrections), eV/f.u.: -3.4
Symmetry: I4/mmm, No. 139
E_tot, eV/atom: -42.139
D(E_F), states/eV/f.u.: 1.3



## MgTaHg2 (meta-GGA SCAN)

Data for a crystal of MgTaHg2 relaxed with PBEsol.

Cell lengths 4.526, 5.823, 5.823 Å; angles 30.37, 90.00, 90.00 degrees
Element x y z (fractional)
Mg 0.000 0.000 0.000
Ta 0.500 0.345 0.345
Hg 0.000 0.754 0.754
Hg 0.500 0.592 0.592

Symmetry: Amm2, No. 38
E_tot, eV/atom: -51.818
D(E_F), states/eV/f.u.: 2.2
Formation energy from the elements, meV per atom: 154



## Sr3Hg (meta-GGA SCAN)

Data for a crystal of Sr3Hg relaxed with PBEsol.

Cell lengths 11.446, 11.446, 11.446 Å; angles 21.65, 21.65, 21.65 degrees
Element x y z (fractional)
Sr 0.000 0.000 0.000
Sr 0.229 0.229 0.229
Sr 0.771 0.771 0.771
Hg 0.500 0.500 0.500

Symmetry: R-3m, No. 166
Energy relative to the lowest polymorph listed for this composition, meV per atom: 93
E_tot, eV/atom: -34.043
D(E_F), states/eV/f.u.: 4.0
Formation energy from the elements, meV per atom: -295



## Ca2BiAs2 (meta-GGA SCAN)

Data for a crystal of Ca2BiAs2 relaxed with PBEsol.

Cell lengths 8.603, 8.603, 3.322 Å; angles 90.00, 90.00, 90.00 degrees
Element x y z (fractional)
Ca 0.136 0.364 0.000
Ca 0.364 0.864 0.000
Ca 0.636 0.136 0.000
Ca 0.864 0.636 0.000
Bi 0.000 0.000 0.000
Bi 0.500 0.500 0.000
As 0.168 0.668 0.500
As 0.332 0.168 0.500
As 0.668 0.832 0.500
As 0.832 0.332 0.500

Symmetry: P4/mbm, No. 127
Energy relative to the lowest polymorph listed for this composition, meV per atom: 306
E_tot, eV/atom: -28.231
D(E_F), states/eV/f.u.: 2.9
Formation energy from the elements, meV per atom: -574



## Be2SeCl (meta-GGA SCAN)

Data for a crystal of Be2SeCl relaxed with PBEsol.

Cell lengths 3.540, 3.457, 6.243 Å; angles 90.00, 106.20, 90.00 degrees
Element x y z (fractional)
Be 0.000 0.000 0.000
Be 0.479 0.500 0.959
Se 0.883 0.500 0.763
Cl 0.167 0.000 0.319

Formation energy (no corrections), eV/f.u.: -1.7
Symmetry: Pm, No. 6
Energy relative to the lowest polymorph listed for this composition, meV per atom: 0
E_tot, eV/atom: -9.604
D(E_F), states/eV/f.u.: 0.6